# 1
Density functional theory data (GGA-PBE) for a relaxed structure of AlAsN2O.

The structure in CIF format:
```
data_AlAsN2O
_chemical_formula_sum 'Al1 As1 N2 O1'
_cell_length_a 3.7738
_cell_length_b 3.7738
_cell_length_c 3.6163
_cell_angle_alpha 90.00
_cell_angle_beta 90.00
_cell_angle_gamma 90.00
_space_group_name_H-M_alt 'P 4/m m m'
_space_group_IT_number 123
_space_group_name_Hall '-P 4 2'
loop_
_atom_site_label
_atom_site_type_symbol
_atom_site_fract_x
_atom_site_fract_y
_atom_site_fract_z
_atom_site_occupancy
Al1 Al 0.0000 0.0000 0.0000 1
As1 As 0.5000 0.5000 0.5000 1
N1 N 0.0000 0.5000 0.5000 1
O1 O 0.5000 0.5000 0.0000 1
```

Summary:
energy relative to the elements, uncorrected	0.544	eV per atom
crystal system	tetragonal
volume	52	Å³/cell

# 2
Density functional theory data (GGA-PBE) for a relaxed structure of Tb5CeY2.

The structure in CIF format:
```
data_Tb5CeY2
_chemical_formula_sum 'Tb10 Ce2 Y4'
_cell_length_a 7.1251
_cell_length_b 14.2541
_cell_length_c 5.0328
_cell_angle_alpha 90.00
_cell_angle_beta 90.00
_cell_angle_gamma 90.00
_space_group_name_H-M_alt 'P b a m'
_space_group_IT_number 55
_space_group_name_Hall '-P 2 2ab'
loop_
_atom_site_label
_atom_site_type_symbol
_atom_site_fract_x
_atom_site_fract_y
_atom_site_fract_z
_atom_site_occupancy
Tb1 Tb 0.0000 0.0000 0.0000 1
Tb2 Tb 0.0011 0.2501 0.0000 1
Tb3 Tb 0.2470 0.3762 0.5000 1
Ce1 Ce 0.0000 0.5000 0.0000 1
Y1 Y 0.2456 0.6240 0.5000 1
```

Summary:
crystal system	orthorhombic
volume	511	Å³/cell
energy of formation from the pure elements	0.044	eV/atom

# 3
Density functional theory data (GGA-PBE) for a relaxed structure of Cs3HgB.

The structure in CIF format:
```
data_Cs3HgB
_chemical_formula_sum 'Cs3 Hg1 B1'
_cell_length_a 6.6107
_cell_length_b 6.6107
_cell_length_c 6.6107
_cell_angle_alpha 90.00
_cell_angle_beta 90.00
_cell_angle_gamma 90.00
_space_group_name_H-M_alt 'P m -3 m'
_space_group_IT_number 221
_space_group_name_Hall '-P 4 2 3'
loop_
_atom_site_label
_atom_site_type_symbol
_atom_site_fract_x
_atom_site_fract_y
_atom_site_fract_z
_atom_site_occupancy
Cs1 Cs 0.0000 0.0000 0.5000 1
Hg1 Hg 0.5000 0.5000 0.5000 1
B1 B 0.0000 0.0000 0.0000 1
```

Summary:
crystal system	cubic
volume	289	Å³/cell
energy of formation from the pure elements	0.686	eV/atom